Material: Zr3SnRu
Method: DFT, GGA-PBEsol
State: optimized geometry

Summary:
**SG**: Pm-3m

Cell: 5.1301 5.1301 5.1301 Å, 90.00 90.00 90.00°
Closest atoms and distances in Å follow each position.
Fractional coordinates of all 5 atoms:
Ru1 0.5000 0.5000 0.5000  12 Zr 3.63
Sn1 0.0000 0.0000 0.0000  6 Zr 2.57
Zr1 0.0000 0.5000 0.0000  2 Sn 2.57
Zr2 0.0000 0.0000 0.5000  2 Sn 2.57
Zr3 0.5000 0.0000 0.0000  2 Sn 2.57

=====

Material: Sr2Ru3
Method: DFT, GGA-PBEsol
State: optimized geometry

Summary:
**SG**: R-3m

Cell: 3.9101 3.9101 9.3295 Å, 77.90 77.90 60.00°
Closest atoms and distances in Å follow each position.
Fractional coordinates of all 5 atoms:
Ru1 0.0000 0.0000 0.0000  6 Sr 3.03
Ru2 0.1572 0.1572 0.5283  3 Ru 2.31
Ru3 0.8428 0.8428 0.4717  3 Ru 2.31
Sr1 0.5921 0.5921 0.2237  6 Ru 3.03-3.18
Sr2 0.4079 0.4079 0.7763  6 Ru 3.03-3.18

=====

Material: Sr3Ru
Method: DFT, GGA-PBEsol
State: optimized geometry

Summary:
**SG**: I4/mmm

Cell: 5.5039 5.5270 5.5039 Å, 60.14 90.00 119.86°
Closest atoms and distances in Å follow each position.
Fractional coordinates of all 4 atoms:
Ru1 0.0000 0.0000 0.0000  8 Sr 3.38
Sr1 0.2500 0.5000 0.2500  4 Ru 3.38, 4 Sr 3.38
Sr2 0.5000 0.0000 0.5000  8 Sr 3.38
Sr3 0.7500 0.5000 0.7500  4 Ru 3.38, 4 Sr 3.38

=====

DFT formation energy list, top to bottom, in eV/atom: 1.49; 0.84; 0.57
Density list, top to bottom, in Mg/m³: 6.07; 6.63; 5.08
VASP energy list, top to bottom, in eV per atom: -6.85; -6.00; -3.35